# Cs3Sb3Pt2

Cs3Sb3Pt2 after structural relaxation (GGA-PBE, the Alexandria database).

Cell lengths 4.7581, 7.5295, 17.1197 Å; angles 90.00, 90.00, 108.42 degrees
Last column: nearest neighbours and their distance in Å.
Sites, in units of the cell vectors:
Cs: 0.9510 0.9020 0.3930  2 Pt 3.72, 5 Sb 3.84-4.10, 3 Cs 3.92-4.16
Cs: 0.0490 0.0980 0.6070  2 Pt 3.72, 5 Sb 3.84-4.10, 3 Cs 3.92-4.16
Cs: 0.6173 0.2345 0.2500  4 Sb 3.64-3.66, 4 Pt 3.96
Cs: 0.9510 0.9020 0.1070  2 Pt 3.72, 5 Sb 3.84-4.10, 3 Cs 3.92-4.16
Cs: 0.3827 0.7655 0.7500  4 Sb 3.64-3.66, 4 Pt 3.96
Cs: 0.0490 0.0980 0.8930  2 Pt 3.72, 5 Sb 3.84-4.10, 3 Cs 3.92-4.16
Pt: 0.2508 0.5015 0.3973  4 Sb 2.67-2.70
Pt: 0.2508 0.5015 0.1027  4 Sb 2.67-2.70
Pt: 0.7492 0.4985 0.8973  4 Sb 2.67-2.70
Pt: 0.7492 0.4985 0.6027  4 Sb 2.67-2.70
Sb: 0.3079 0.6159 0.5470  3 Pt 2.69-2.70
Sb: 0.3079 0.6159 0.9530  3 Pt 2.69-2.70
Sb: 0.6921 0.3841 0.4530  3 Pt 2.69-2.70
Sb: 0.6921 0.3841 0.0470  3 Pt 2.69-2.70
Sb: 0.3123 0.6245 0.2500  2 Pt 2.67
Sb: 0.6877 0.3755 0.7500  2 Pt 2.67

Output
Calculated density ... 6.59 Mg/m³
Total DFT energy (no corrections) ... -3.818 eV per atom
Formation energy without anion corrections ... -0.442 eV per atom
SG ... Cmcm
DOS at the Fermi energy ... 2.726 states/eV/f.u.


# CsSb3Pt

CsSb3Pt after structural relaxation (GGA-PBE, the Alexandria database).

Cell lengths 5.9896, 5.9896, 5.9896 Å; angles 90.00, 90.00, 90.00 degrees
Last column: nearest neighbours and their distance in Å.
Sites, in units of the cell vectors:
Pt: 0.5000 0.5000 0.5000  12 Sb 4.24
Sb: 0.0000 0.5000 0.0000  2 Cs 2.99
Sb: 0.0000 0.0000 0.5000  2 Cs 2.99
Sb: 0.5000 0.0000 0.0000  2 Cs 2.99
Cs: 0.0000 0.0000 0.0000  6 Sb 2.99

Output
Calculated density ... 5.36 Mg/m³
Distance to the lowest polymorph of the same formula ... 196.9 kJ/mol of atoms
Total DFT energy (no corrections) ... -1.714 eV per atom
Formation energy without anion corrections ... 2.138 eV per atom
SG ... Pm-3m
DOS at the Fermi energy ... 9.213 states/eV/f.u.


# Cs3Sb4Pt2

Cs3Sb4Pt2 after structural relaxation (GGA-PBE, the Alexandria database).

Cell lengths 4.3875, 7.6919, 10.7233 Å; angles 100.94, 90.00, 106.57 degrees
Last column: nearest neighbours and their distance in Å.
Sites, in units of the cell vectors:
Sb: 0.8863 0.7726 0.3045  2 Pt 2.73
Sb: 0.2874 0.5747 0.9095  3 Pt 2.70-2.71
Sb: 0.7126 0.4253 0.0905  3 Pt 2.70-2.71
Sb: 0.1137 0.2274 0.6955  2 Pt 2.73
Cs: 0.3842 0.7684 0.6020  6 Sb 3.84-4.30
Cs: 0.6158 0.2316 0.3980  6 Sb 3.84-4.30
Cs: 0.0000 0.0000 0.0000  6 Sb 3.79-3.96, 4 Pt 4.16
Pt: 0.6842 0.3684 0.8333  5 Sb 2.70-2.73
Pt: 0.3158 0.6316 0.1667  5 Sb 2.70-2.73

Output
Calculated density ... 6.23 Mg/m³
Total DFT energy (no corrections) ... -3.940 eV per atom
Formation energy without anion corrections ... -0.481 eV per atom
SG ... C2/m
DOS at the Fermi energy ... 2.888 states/eV/f.u.


# Cs2SbPt2

Cs2SbPt2 after structural relaxation (GGA-PBE, the Alexandria database).

Cell lengths 6.3330, 6.3330, 8.3625 Å; angles 83.54, 83.54, 71.04 degrees
Last column: nearest neighbours and their distance in Å.
Sites, in units of the cell vectors:
Pt: 0.0049 0.7358 0.9989  2 Sb 2.69-2.73, 1 Pt 3.01
Pt: 0.2642 0.9951 0.5011  2 Sb 2.69-2.73, 1 Pt 3.01
Pt: 0.7358 0.0049 0.4989  2 Sb 2.69-2.73, 1 Pt 3.01
Pt: 0.9951 0.2642 0.0011  2 Sb 2.69-2.73, 1 Pt 3.01
Cs: 0.7527 0.5275 0.3696  5 Pt 3.29-3.68
Cs: 0.2473 0.4725 0.6304  5 Pt 3.29-3.68
Cs: 0.5275 0.7527 0.8696  5 Pt 3.29-3.68
Cs: 0.4725 0.2473 0.1304  5 Pt 3.29-3.68
Sb: 0.0619 0.9381 0.2500  4 Pt 2.69-2.73
Sb: 0.9381 0.0619 0.7500  4 Pt 2.69-2.73

Output
Calculated density ... 8.22 Mg/m³
Distance to the lowest polymorph of the same formula ... 4.6 kJ/mol of atoms
Total DFT energy (no corrections) ... -3.808 eV per atom
Formation energy without anion corrections ... -0.226 eV per atom
SG ... C2/c
DOS at the Fermi energy ... 2.095 states/eV/f.u.